Entry from Alexandria: a geometry-optimized BaEuVSnO6 structure (PBE+U).

a b c (Å): 5.7360 5.7360 5.7360
angles (deg): 60.00 60.00 60.00
Site moments in Bohr magnetons follow the coordinates.
Positions (direct):
Eu  0.2500  0.2500  0.2500  6.69
O  0.2552  0.7448  0.2552  -0.05
O  0.7448  0.2552  0.7448  -0.05
O  0.2552  0.7448  0.7448  -0.05
O  0.7448  0.2552  0.2552  -0.05
O  0.7448  0.7448  0.2552  -0.05
V  0.5000  0.5000  0.5000  1.40
Sn  0.0000  0.0000  0.0000  0.00
Ba  0.7500  0.7500  0.7500  0.00
O  0.2552  0.2552  0.7448  -0.05

For the calculated total energy, the calculation gives -0.2788 hartree per atom. The calculation puts the total magnetic moment at 8.00 μB per cell.